Entry 1:
Here is crystalline ThSiMo at its relaxed geometry from Alexandria via LeMat-Bulk. Energies are from PBE-GGA.

Energy ... -94.5 eV per cell
D(E_F) ... 11.317 states/eV/cell
Crystal system ... monoclinic

Cell lengths 8.598, 3.555, 8.914 Å; angles 90.00, 105.07, 90.00 degrees
Space group C2/m (No. 12)
Unique sites:
1 Th 0.107 0.000 0.367
2 Si 0.056 0.500 0.893
3 Mo 0.242 0.000 0.849

Entry 2:
Here is crystalline Th2Si2Mo at its relaxed geometry from Alexandria via LeMat-Bulk. Energies are from PBE-GGA.

Energy ... -157.1 eV per cell
D(E_F) ... 16.922 states/eV/cell
Crystal system ... monoclinic

Cell lengths 11.201, 4.241, 10.605 Å; angles 90.00, 119.32, 90.00 degrees
Space group C2/m (No. 12)
Unique sites:
1 Th 0.010 0.000 0.184
2 Th 0.195 0.000 0.610
3 Si 0.004 0.500 0.382
4 Si 0.138 0.500 0.058
5 Mo 0.222 0.500 0.873

Entry 3:
Here is crystalline ThSi2Mo4 at its relaxed geometry from Alexandria via LeMat-Bulk. Energies are from PBE-GGA.

Energy ... -127.1 eV per cell
D(E_F) ... 10.378 states/eV/cell
Crystal system ... orthorhombic

Cell lengths 4.429, 13.053, 4.396 Å; angles 90.00, 90.00, 90.00 degrees
Space group Cmmm (No. 65)
Unique sites:
1 Th 0.000 0.000 0.000
2 Si 0.000 0.406 0.500
3 Mo 0.000 0.192 0.500
4 Mo 0.000 0.305 0.000